Computed, not measured: ScMoCl3 after structural relaxation at the GGA-PBE level of DFT.

POSCAR file:
```
ScMoCl3
1.0
4.982 0.000 0.000
0.000 4.982 0.000
0.000 0.000 4.982
Sc Mo Cl
1 1 3
Cartesian
0.000 0.000 0.000
2.491 2.491 2.491
0.000 2.491 2.491
2.491 0.000 2.491
2.491 2.491 0.000
```

The formation energy (no corrections) comes out at -58 meV/atom. For the total energy, the calculation gives -0.1690 hartree per atom. The calculation puts the size of the total moment at 4.55 μB per formula unit. For the calculated density, the calculation gives 3321 kg/m³. The calculation puts the density of states at the Fermi level at 9.43 states/eV per cell.



Computed, not measured: InSnHg14 after structural relaxation at the GGA-PBE level of DFT.

POSCAR file:
```
InSnHg14
1.0
6.341 0.000 0.000
0.000 10.713 0.000
-0.091 0.000 6.389
In Sn Hg
1 1 14
Cartesian
0.000 0.000 0.000
3.039 0.000 3.108
0.163 5.357 3.283
0.842 2.651 1.685
0.842 8.062 1.685
1.220 5.357 0.051
1.892 2.631 4.866
1.892 8.082 4.866
3.108 0.000 6.323
3.338 5.357 3.737
4.009 2.664 1.884
4.009 8.049 1.884
4.357 5.357 0.528
5.077 2.810 5.058
5.077 7.903 5.058
6.165 0.000 3.252
```

For the total energy, the calculation gives -0.0244 hartree per atom. The formation enthalpy at 0 K is 22 meV per atom. The calculation puts the size of the total moment at 0.00 μB per formula unit. For the calculated density, the calculation gives 11638 kg/m³. The calculation puts the density of states at the Fermi level at 2.82 states/eV per cell.